1.
VASP calculation (PBE) on HoEr3S3 after structural relaxation.

- ΔE_f (raw): -1.6653 eV per atom
- Electronic total energy: -169.2 eV per cell
- SG: P4_2/mnm (136)

Cell and atoms, written as POSCAR:
```
HoEr3S3
1.0
10.850 0.000 0.000
0.000 10.850 0.000
0.000 0.000 5.402
Ho Er S
4 12 12
Direct
0.121 0.121 0.000
0.379 0.621 0.500
0.621 0.379 0.500
0.879 0.879 0.000
0.121 0.627 0.000
0.126 0.874 0.500
0.127 0.379 0.500
0.373 0.879 0.000
0.374 0.374 0.000
0.379 0.127 0.500
0.621 0.873 0.500
0.626 0.626 0.000
0.627 0.121 0.000
0.873 0.621 0.500
0.874 0.126 0.500
0.879 0.373 0.000
0.126 0.374 0.000
0.126 0.626 0.500
0.126 0.874 0.000
0.374 0.126 0.000
0.374 0.374 0.500
0.374 0.874 0.500
0.626 0.126 0.500
0.626 0.626 0.500
0.626 0.874 0.000
0.874 0.126 0.000
0.874 0.374 0.500
0.874 0.626 0.000
```


2.
VASP calculation (PBE) on HoErS3 after structural relaxation.

- ΔE_f (raw): -2.0173 eV per atom
- Energy above the lowest structure with this stoichiometry: 0 meV per atom
- Electronic total energy: -63.2 eV per cell
- SG: C2/m (12)

Cell and atoms, written as POSCAR:
```
HoErS3
1.0
7.915 -2.032 0.000
7.915 2.032 0.000
-3.778 0.000 7.371
Ho Er S
2 2 6
Direct
0.131 0.131 0.292
0.869 0.869 0.708
0.353 0.353 0.238
0.647 0.647 0.762
0.145 0.145 0.976
0.233 0.233 0.655
0.455 0.455 0.640
0.545 0.545 0.360
0.767 0.767 0.345
0.855 0.855 0.024
```


3.
VASP calculation (PBE) on HoEr2S3 after structural relaxation.

- ΔE_f (raw): -1.9589 eV per atom
- Electronic total energy: -75.7 eV per cell
- SG: Immm (71)

Cell and atoms, written as POSCAR:
```
HoEr2S3
1.0
3.882 0.000 0.000
0.000 5.462 0.000
0.000 0.000 11.594
Ho Er S
2 4 6
Direct
0.000 0.000 0.000
0.500 0.500 0.500
0.000 0.000 0.334
0.000 0.000 0.666
0.500 0.500 0.166
0.500 0.500 0.834
0.000 0.500 0.000
0.000 0.500 0.332
0.000 0.500 0.668
0.500 0.000 0.168
0.500 0.000 0.500
0.500 0.000 0.832
```


4.
VASP calculation (PBE) on Ho2ErS3 after structural relaxation.

- ΔE_f (raw): -1.9657 eV per atom
- Electronic total energy: -75.8 eV per cell
- SG: Immm (71)

Cell and atoms, written as POSCAR:
```
Ho2ErS3
1.0
3.886 0.000 0.000
0.000 5.472 0.000
0.000 0.000 11.621
Ho Er S
4 2 6
Direct
0.000 0.000 0.167
0.000 0.000 0.833
0.500 0.500 0.333
0.500 0.500 0.667
0.000 0.000 0.500
0.500 0.500 0.000
0.000 0.500 0.165
0.000 0.500 0.500
0.000 0.500 0.835
0.500 0.000 0.000
0.500 0.000 0.335
0.500 0.000 0.665
```


5.
VASP calculation (PBE) on Ho2ErS2 after structural relaxation.

- ΔE_f (raw): -1.5613 eV per atom
- Electronic total energy: -89.3 eV per cell
- SG: R-3m (166)

Cell and atoms, written as POSCAR:
```
Ho2ErS2
1.0
3.784 0.000 0.000
-1.892 3.277 0.000
0.000 0.000 28.459
Ho Er S
6 3 6
Direct
0.000 0.000 0.216
0.000 0.000 0.784
0.333 0.667 0.451
0.333 0.667 0.883
0.667 0.333 0.117
0.667 0.333 0.549
0.000 0.000 0.000
0.333 0.667 0.667
0.667 0.333 0.333
0.000 0.000 0.390
0.000 0.000 0.610
0.333 0.667 0.057
0.333 0.667 0.277
0.667 0.333 0.723
0.667 0.333 0.943
```


6.
VASP calculation (PBE) on Ho2Er3S4 after structural relaxation.

- ΔE_f (raw): -1.7376 eV per atom
- Electronic total energy: -55.0 eV per cell
- SG: P-3m1 (164)

Cell and atoms, written as POSCAR:
```
Ho2Er3S4
1.0
3.822 0.000 0.000
-1.911 3.310 0.000
0.000 0.000 15.787
Ho Er S
2 3 4
Direct
0.333 0.667 0.206
0.667 0.333 0.794
0.000 0.000 0.000
0.333 0.667 0.589
0.667 0.333 0.411
0.000 0.000 0.307
0.000 0.000 0.693
0.333 0.667 0.898
0.667 0.333 0.102
```


7.
VASP calculation (PBE) on HoEr3S6 after structural relaxation.

- ΔE_f (raw): -2.0553 eV per atom
- Electronic total energy: -127.2 eV per cell
- SG: R-3 (148)

Cell and atoms, written as POSCAR:
```
HoEr3S6
1.0
5.689 3.284 4.517
-5.689 3.284 4.517
0.000 -6.569 4.517
Ho Er S
2 6 12
Direct
0.000 0.000 0.000
0.500 0.500 0.500
0.067 0.747 0.577
0.253 0.423 0.933
0.423 0.933 0.253
0.577 0.067 0.747
0.747 0.577 0.067
0.933 0.253 0.423
0.036 0.680 0.905
0.095 0.964 0.320
0.184 0.418 0.592
0.320 0.095 0.964
0.408 0.816 0.582
0.418 0.592 0.184
0.582 0.408 0.816
0.592 0.184 0.418
0.680 0.905 0.036
0.816 0.582 0.408
0.905 0.036 0.680
0.964 0.320 0.095
```


8.
VASP calculation (PBE) on Ho4Er2S9 after structural relaxation.

- ΔE_f (raw): -2.0633 eV per atom
- Electronic total energy: -191.1 eV per cell
- SG: P-3c1 (165)

Cell and atoms, written as POSCAR:
```
Ho4Er2S9
1.0
6.863 0.000 0.000
-3.431 5.943 0.000
0.000 0.000 18.430
Ho Er S
8 4 18
Direct
0.333 0.667 0.183
0.333 0.667 0.483
0.333 0.667 0.683
0.333 0.667 0.983
0.667 0.333 0.017
0.667 0.333 0.317
0.667 0.333 0.517
0.667 0.333 0.817
0.000 0.000 0.150
0.000 0.000 0.350
0.000 0.000 0.650
0.000 0.000 0.850
0.000 0.301 0.250
0.000 0.699 0.750
0.032 0.364 0.583
0.032 0.668 0.083
0.301 0.000 0.250
0.301 0.301 0.750
0.332 0.364 0.083
0.332 0.968 0.583
0.364 0.032 0.917
0.364 0.332 0.417
0.636 0.668 0.583
0.636 0.968 0.083
0.668 0.032 0.417
0.668 0.636 0.917
0.699 0.000 0.750
0.699 0.699 0.250
0.968 0.332 0.917
0.968 0.636 0.417
```


9.
VASP calculation (PBE) on Ho3Er5S8 after structural relaxation.

- ΔE_f (raw): -1.9571 eV per atom
- Electronic total energy: -100.9 eV per cell
- SG: R-3m (166)

Cell and atoms, written as POSCAR:
```
Ho3Er5S8
1.0
3.872 2.236 6.323
-3.872 2.236 6.323
0.000 -4.471 6.323
Ho Er S
3 5 8
Direct
0.000 0.500 0.500
0.500 0.000 0.500
0.500 0.500 0.000
0.000 0.000 0.000
0.000 0.000 0.500
0.000 0.500 0.000
0.500 0.000 0.000
0.500 0.500 0.500
0.249 0.249 0.249
0.249 0.750 0.750
0.250 0.250 0.751
0.250 0.751 0.250
0.750 0.249 0.750
0.750 0.750 0.249
0.751 0.250 0.250
0.751 0.751 0.751
```


10.
VASP calculation (PBE) on Ho4Er3S8 after structural relaxation.

- ΔE_f (raw): -2.0349 eV per atom
- Electronic total energy: -95.5 eV per cell
- SG: C2/m (12)

Cell and atoms, written as POSCAR:
```
Ho4Er3S8
1.0
5.469 -5.469 0.000
5.469 5.469 0.000
-5.466 0.000 5.470
Ho Er S
4 3 8
Direct
0.000 0.000 0.000
0.000 0.500 0.000
0.500 0.000 0.000
0.500 0.500 0.500
0.000 0.500 0.500
0.500 0.000 0.500
0.500 0.500 0.000
0.249 0.249 0.501
0.249 0.249 0.997
0.249 0.751 0.500
0.251 0.749 0.000
0.749 0.251 0.000
0.751 0.249 0.500
0.751 0.751 0.003
0.751 0.751 0.499
```


The following spin magnetization values (in μB per cell) correspond, in order, to the records above: 0.0 0.0 0.0 0.0 1.5 0.0 0.0 0.0 0.0 0.0.